VASP calculation (GGA+U) on a relaxed NaMnBrF2 crystal.

## Properties
energy above the lowest structure with this stoichiometry	58	meV per atom
electronic total energy	-4.97	eV per atom
V	98	Å³ per cell
space group	P4/mmm (123)

abc: 4.1737 4.1737 5.6421
angles: 90.00 90.00 90.00
Positions (direct):
Na 0.5000 0.5000 0.5000
Mn 0.0000 0.0000 0.0000
Br 0.0000 0.0000 0.5000
F 0.0000 0.5000 0.0000
F 0.5000 0.0000 0.0000